[1]
## La4As3 (GGA-PBEsol)

Data for a geometry-optimized La4As3 structure.

a b c (Å): 9.0787 9.0787 9.0787
angles (deg): 90.00 90.00 90.00
Last column: nearest neighbours and their distance in Å.
Space group I-43d (No. 220)
Asymmetric unit:
La  0.0687  0.0687  0.0687 [16 per cell]  6 As 3.00-3.29
As  0.0000  0.2500  0.3750 [12 per cell]  8 La 3.00-3.29

Calculated values
- Density: 6927 kg/m³
- ΔH_f (0 K): -1348 meV per atom



[2]
## TiAlBr2 (GGA-PBEsol)

Data for a geometry-optimized TiAlBr2 structure.

a b c (Å): 6.8887 6.8887 6.8887
angles (deg): 90.00 90.00 90.00
Last column: nearest neighbours and their distance in Å.
Space group Fm-3m (No. 225)
Asymmetric unit:
Ti  0.0000  0.0000  0.0000 [4 per cell]  8 Br 2.98
Al  0.0000  0.0000  0.5000 [4 per cell]  8 Br 2.98
Br  0.2500  0.2500  0.2500 [8 per cell]  4 Al 2.98, 4 Ti 2.98

Calculated values
- Density: 4768 kg/m³
- ΔE_f (raw): 0.01 eV per atom
- Energy above the lowest structure with this stoichiometry: 0.208 eV/f.u.



[3]
## Cu3Au5 (GGA-PBEsol)

Data for a geometry-optimized Cu3Au5 structure.

a b c (Å): 9.8376 9.8376 5.0274
angles (deg): 90.00 90.00 90.00
Last column: nearest neighbours and their distance in Å.
Space group I4/mcm (No. 140)
Asymmetric unit:
Cu  0.0000  0.0000  0.2500 [4 per cell]  2 Cu 2.51, 8 Au 2.64
Cu  0.1689  0.3311  0.0000 [8 per cell]  10 Au 2.58-2.88
Au  0.0000  0.5000  0.2500 [4 per cell]  2 Au 2.51, 4 Cu 2.67
Au  0.0744  0.2238  0.5000 [16 per cell]  6 Cu 2.58-2.88, 1 Au 2.81

Calculated values
- Density: 16047 kg/m³
- ΔH_f (0 K): 57 meV per atom
- Energy above the lowest structure with this stoichiometry: 0.721 eV/f.u.